A relaxed Li6AlAg crystal. Source: Alexandria, functional GGA-PBE.

Cell and atoms, written as extended XYZ:
```
8
Lattice="4.5494 0.0000 0.0000 0.0000 3.2973 4.4751 0.0000 -3.2973 4.4751" Properties=species:S:1:pos:R:3 pbc="T T T"
Li 0.0000 0.0000 0.0000
Li 0.0000 -1.5805 2.4790
Li 0.0000 1.5805 2.4790
Li 2.2747 -1.6691 4.7099
Li 2.2747 0.0000 2.6550
Li 2.2747 1.6691 4.7099
Al 2.2747 0.0000 6.8659
Ag 0.0000 0.0000 4.8883
```

The energy of formation from the pure elements is -0.110 eV/atom. The crystal system is orthorhombic. The value obtained for the electronic total energy is -2.37 eV/atom.